Entry 1:
Compound: Ti2TlZn2
Source: Alexandria
Functional: PBE
Structure: relaxed

Cell and atoms, written as CIF:
```
data_Ti2TlZn2
_chemical_formula_sum 'Ti4 Tl2 Zn4'
_symmetry_space_group_name_H-M 'P 1'
_symmetry_Int_Tables_number 1
_symmetry_space_group_name_Hall 'P 1'
_cell_length_a 7.329
_cell_length_b 7.329
_cell_length_c 3.216
_cell_angle_alpha 90.00
_cell_angle_beta 90.00
_cell_angle_gamma 90.00
loop_
_atom_site_label
_atom_site_type_symbol
_atom_site_fract_x
_atom_site_fract_y
_atom_site_fract_z
_atom_site_occupancy
Ti1 Ti 0.176 0.324 0.000 1
Ti2 Ti 0.324 0.824 0.000 1
Ti3 Ti 0.676 0.176 0.000 1
Ti4 Ti 0.824 0.676 0.000 1
Tl1 Tl 0.000 0.000 0.500 1
Tl2 Tl 0.500 0.500 0.500 1
Zn1 Zn 0.119 0.619 0.500 1
Zn2 Zn 0.381 0.119 0.500 1
Zn3 Zn 0.619 0.881 0.500 1
Zn4 Zn 0.881 0.381 0.500 1
```

## Properties
- crystal system = tetragonal
- relative energy among the computed polymorphs (eV per atom) = 0.0000
- density of states at the Fermi level (states/eV per cell) = 4.12
- formation energy from the elements (eV per atom) = -0.001
- space-group type = P4/mbm
- calculated volume (Å³ per cell) = 172.7

Entry 2:
Compound: Ba5Zn2Pt5
Source: Alexandria
Functional: PBE
Structure: relaxed

Cell and atoms, written as CIF:
```
data_Ba5Zn2Pt5
_chemical_formula_sum 'Ba5 Zn2 Pt5'
_symmetry_space_group_name_H-M 'P 1'
_symmetry_Int_Tables_number 1
_symmetry_space_group_name_Hall 'P 1'
_cell_length_a 8.295
_cell_length_b 8.295
_cell_length_c 12.458
_cell_angle_alpha 126.26
_cell_angle_beta 126.26
_cell_angle_gamma 30.44
loop_
_atom_site_label
_atom_site_type_symbol
_atom_site_fract_x
_atom_site_fract_y
_atom_site_fract_z
_atom_site_occupancy
Ba1 Ba 0.000 0.000 0.000 1
Ba2 Ba 0.321 0.321 0.417 1
Ba3 Ba 0.368 0.368 0.171 1
Ba4 Ba 0.632 0.632 0.829 1
Ba5 Ba 0.679 0.679 0.583 1
Zn1 Zn 0.387 0.387 0.731 1
Zn2 Zn 0.613 0.613 0.269 1
Pt1 Pt 0.000 0.000 0.500 1
Pt2 Pt 0.062 0.062 0.331 1
Pt3 Pt 0.306 0.306 0.860 1
Pt4 Pt 0.694 0.694 0.140 1
Pt5 Pt 0.938 0.938 0.669 1
```

## Properties
- crystal system = monoclinic
- density of states at the Fermi level (states/eV per cell) = 3.61
- formation energy from the elements (eV per atom) = -0.649
- space-group type = C2/m
- calculated volume (Å³ per cell) = 343.1

Entry 3:
Compound: TmBePt6
Source: Alexandria
Functional: PBE
Structure: relaxed

Cell and atoms, written as CIF:
```
data_TmBePt6
_chemical_formula_sum 'Tm1 Be1 Pt6'
_symmetry_space_group_name_H-M 'P 1'
_symmetry_Int_Tables_number 1
_symmetry_space_group_name_Hall 'P 1'
_cell_length_a 5.448
_cell_length_b 5.448
_cell_length_c 5.448
_cell_angle_alpha 107.51
_cell_angle_beta 107.51
_cell_angle_gamma 107.51
loop_
_atom_site_label
_atom_site_type_symbol
_atom_site_fract_x
_atom_site_fract_y
_atom_site_fract_z
_atom_site_occupancy
Tm1 Tm 0.000 0.000 0.000 1
Be1 Be 0.500 0.500 0.500 1
Pt1 Pt 0.235 0.235 0.672 1
Pt2 Pt 0.235 0.672 0.235 1
Pt3 Pt 0.328 0.765 0.765 1
Pt4 Pt 0.672 0.235 0.235 1
Pt5 Pt 0.765 0.328 0.765 1
Pt6 Pt 0.765 0.765 0.328 1
```

## Properties
- crystal system = trigonal
- relative energy among the computed polymorphs (eV per atom) = 0.2034
- density of states at the Fermi level (states/eV per cell) = 4.08
- formation energy from the elements (eV per atom) = -0.462
- space-group type = R-3m
- calculated volume (Å³ per cell) = 132.8

Entry 4:
Compound: CaFeTe2
Source: Alexandria
Functional: PBE
Structure: relaxed

Cell and atoms, written as CIF:
```
data_CaFeTe2
_chemical_formula_sum 'Ca1 Fe1 Te2'
_symmetry_space_group_name_H-M 'P 1'
_symmetry_Int_Tables_number 1
_symmetry_space_group_name_Hall 'P 1'
_cell_length_a 5.259
_cell_length_b 5.259
_cell_length_c 5.259
_cell_angle_alpha 60.00
_cell_angle_beta 60.00
_cell_angle_gamma 60.00
loop_
_atom_site_label
_atom_site_type_symbol
_atom_site_fract_x
_atom_site_fract_y
_atom_site_fract_z
_atom_site_occupancy
Ca1 Ca 0.000 0.000 0.000 1
Fe1 Fe 0.750 0.750 0.750 1
Te1 Te 0.250 0.250 0.250 1
Te2 Te 0.500 0.500 0.500 1
```

## Properties
- crystal system = cubic
- density of states at the Fermi level (states/eV per cell) = 7.56
- space-group type = F-43m
- calculated volume (Å³ per cell) = 102.8
- formation energy from raw total energies (eV per atom) = 0.1766

Entry 5:
Compound: Zr5Bi3H
Source: Alexandria
Functional: PBE
Structure: relaxed

Cell and atoms, written as CIF:
```
data_Zr5Bi3H
_chemical_formula_sum 'Zr10 Bi6 H2'
_symmetry_space_group_name_H-M 'P 1'
_symmetry_Int_Tables_number 1
_symmetry_space_group_name_Hall 'P 1'
_cell_length_a 8.685
_cell_length_b 8.685
_cell_length_c 5.867
_cell_angle_alpha 90.00
_cell_angle_beta 90.00
_cell_angle_gamma 120.00
loop_
_atom_site_label
_atom_site_type_symbol
_atom_site_fract_x
_atom_site_fract_y
_atom_site_fract_z
_atom_site_occupancy
Zr1 Zr 0.000 0.225 0.250 1
Zr2 Zr 0.000 0.775 0.750 1
Zr3 Zr 0.225 0.000 0.250 1
Zr4 Zr 0.225 0.225 0.750 1
Zr5 Zr 0.333 0.667 0.000 1
Zr6 Zr 0.333 0.667 0.500 1
Zr7 Zr 0.667 0.333 0.000 1
Zr8 Zr 0.667 0.333 0.500 1
Zr9 Zr 0.775 0.000 0.750 1
Zr10 Zr 0.775 0.775 0.250 1
Bi1 Bi 0.000 0.395 0.750 1
Bi2 Bi 0.000 0.605 0.250 1
Bi3 Bi 0.395 0.000 0.750 1
Bi4 Bi 0.395 0.395 0.250 1
Bi5 Bi 0.605 0.000 0.250 1
Bi6 Bi 0.605 0.605 0.750 1
H1 H 0.000 0.000 0.000 1
H2 H 0.000 0.000 0.500 1
```

## Properties
- crystal system = hexagonal
- E (eV per atom) = -6.74
- density of states at the Fermi level (states/eV per cell) = 18.59
- space-group type = P6_3/mcm
- calculated volume (Å³ per cell) = 383.3

Entry 6:
Compound: Ca3InRu
Source: Alexandria
Functional: PBE
Structure: relaxed

Cell and atoms, written as CIF:
```
data_Ca3InRu
_chemical_formula_sum 'Ca3 In1 Ru1'
_symmetry_space_group_name_H-M 'P 1'
_symmetry_Int_Tables_number 1
_symmetry_space_group_name_Hall 'P 1'
_cell_length_a 5.435
_cell_length_b 5.435
_cell_length_c 5.435
_cell_angle_alpha 90.00
_cell_angle_beta 90.00
_cell_angle_gamma 90.00
loop_
_atom_site_label
_atom_site_type_symbol
_atom_site_fract_x
_atom_site_fract_y
_atom_site_fract_z
_atom_site_occupancy
Ca1 Ca 0.000 0.000 0.500 1
Ca2 Ca 0.000 0.500 0.000 1
Ca3 Ca 0.500 0.000 0.000 1
In1 In 0.500 0.500 0.500 1
Ru1 Ru 0.000 0.000 0.000 1
```

## Properties
- crystal system = cubic
- relative energy among the computed polymorphs (eV per atom) = 0.0000
- density of states at the Fermi level (states/eV per cell) = 3.77
- formation energy from the elements (eV per atom) = 0.116
- space-group type = Pm-3m
- calculated volume (Å³ per cell) = 160.6

Entry 7:
Compound: CdP2Au
Source: Alexandria
Functional: PBE
Structure: relaxed

Cell and atoms, written as CIF:
```
data_CdP2Au
_chemical_formula_sum 'Cd1 P2 Au1'
_symmetry_space_group_name_H-M 'P 1'
_symmetry_Int_Tables_number 1
_symmetry_space_group_name_Hall 'P 1'
_cell_length_a 5.106
_cell_length_b 5.106
_cell_length_c 5.106
_cell_angle_alpha 131.79
_cell_angle_beta 131.79
_cell_angle_gamma 70.56
loop_
_atom_site_label
_atom_site_type_symbol
_atom_site_fract_x
_atom_site_fract_y
_atom_site_fract_z
_atom_site_occupancy
Cd1 Cd 0.000 0.000 0.000 1
P1 P 0.250 0.750 0.500 1
P2 P 0.500 0.500 0.000 1
Au1 Au 0.750 0.250 0.500 1
```

## Properties
- crystal system = tetragonal
- density of states at the Fermi level (states/eV per cell) = 2.02
- formation energy from the elements (eV per atom) = 0.489
- space-group type = I-4m2
- calculated volume (Å³ per cell) = 72.5

Entry 8:
Compound: Sm8SbC4
Source: Alexandria
Functional: PBE
Structure: relaxed

Cell and atoms, written as CIF:
```
data_Sm8SbC4
_chemical_formula_sum 'Sm8 Sb1 C4'
_symmetry_space_group_name_H-M 'P 1'
_symmetry_Int_Tables_number 1
_symmetry_space_group_name_Hall 'P 1'
_cell_length_a 7.876
_cell_length_b 7.876
_cell_length_c 7.876
_cell_angle_alpha 60.00
_cell_angle_beta 60.00
_cell_angle_gamma 60.00
loop_
_atom_site_label
_atom_site_type_symbol
_atom_site_fract_x
_atom_site_fract_y
_atom_site_fract_z
_atom_site_occupancy
Sm1 Sm 0.398 0.398 0.398 1
Sm2 Sm 0.398 0.398 0.807 1
Sm3 Sm 0.398 0.807 0.398 1
Sm4 Sm 0.420 0.860 0.860 1
Sm5 Sm 0.807 0.398 0.398 1
Sm6 Sm 0.860 0.420 0.860 1
Sm7 Sm 0.860 0.860 0.420 1
Sm8 Sm 0.860 0.860 0.860 1
Sb1 Sb 0.250 0.250 0.250 1
C1 C 0.112 0.629 0.629 1
C2 C 0.629 0.112 0.629 1
C3 C 0.629 0.629 0.112 1
C4 C 0.629 0.629 0.629 1
```

## Properties
- crystal system = cubic
- density of states at the Fermi level (states/eV per cell) = 9.30
- space-group type = F-43m
- calculated volume (Å³ per cell) = 345.5
- formation energy from raw total energies (eV per atom) = -0.1275

Entry 9:
Compound: LaGdMgCo
Source: Alexandria
Functional: PBE
Structure: relaxed

Cell and atoms, written as CIF:
```
data_LaGdMgCo
_chemical_formula_sum 'La1 Gd1 Mg1 Co1'
_symmetry_space_group_name_H-M 'P 1'
_symmetry_Int_Tables_number 1
_symmetry_space_group_name_Hall 'P 1'
_cell_length_a 5.184
_cell_length_b 5.184
_cell_length_c 5.184
_cell_angle_alpha 60.00
_cell_angle_beta 60.00
_cell_angle_gamma 60.00
loop_
_atom_site_label
_atom_site_type_symbol
_atom_site_fract_x
_atom_site_fract_y
_atom_site_fract_z
_atom_site_occupancy
La1 La 0.000 0.000 0.000 1
Gd1 Gd 0.500 0.500 0.500 1
Mg1 Mg 0.250 0.250 0.250 1
Co1 Co 0.750 0.750 0.750 1
```

## Properties
- crystal system = cubic
- density of states at the Fermi level (states/eV per cell) = 3.16
- formation energy from the elements (eV per atom) = 0.047
- space-group type = F-43m
- calculated volume (Å³ per cell) = 98.5

Entry 10:
Compound: MnAl2Fe
Source: Alexandria
Functional: PBE
Structure: relaxed

Cell and atoms, written as CIF:
```
data_MnAl2Fe
_chemical_formula_sum 'Mn1 Al2 Fe1'
_symmetry_space_group_name_H-M 'P 1'
_symmetry_Int_Tables_number 1
_symmetry_space_group_name_Hall 'P 1'
_cell_length_a 2.882
_cell_length_b 2.882
_cell_length_c 5.961
_cell_angle_alpha 90.00
_cell_angle_beta 90.00
_cell_angle_gamma 90.00
loop_
_atom_site_label
_atom_site_type_symbol
_atom_site_fract_x
_atom_site_fract_y
_atom_site_fract_z
_atom_site_occupancy
Mn1 Mn 0.000 0.000 0.000 1
Al1 Al 0.500 0.500 0.269 1
Al2 Al 0.500 0.500 0.731 1
Fe1 Fe 0.000 0.000 0.500 1
```

## Properties
- crystal system = tetragonal
- density of states at the Fermi level (states/eV per cell) = 3.01
- formation energy from the elements (eV per atom) = -0.303
- space-group type = P4/mmm
- calculated volume (Å³ per cell) = 49.5

Entry 11:
Compound: Pr2BePdO6
Source: Alexandria
Functional: PBE
Structure: relaxed

Cell and atoms, written as CIF:
```
data_Pr2BePdO6
_chemical_formula_sum 'Pr4 Be2 Pd2 O12'
_symmetry_space_group_name_H-M 'P 1'
_symmetry_Int_Tables_number 1
_symmetry_space_group_name_Hall 'P 1'
_cell_length_a 5.469
_cell_length_b 5.472
_cell_length_c 9.403
_cell_angle_alpha 90.00
_cell_angle_beta 125.37
_cell_angle_gamma 90.00
loop_
_atom_site_label
_atom_site_type_symbol
_atom_site_fract_x
_atom_site_fract_y
_atom_site_fract_z
_atom_site_occupancy
Pr1 Pr 0.241 0.041 0.249 1
Pr2 Pr 0.241 0.459 0.749 1
Pr3 Pr 0.759 0.541 0.251 1
Pr4 Pr 0.759 0.959 0.751 1
Be1 Be 0.000 0.000 0.500 1
Be2 Be 0.000 0.500 0.000 1
Pd1 Pd 0.500 0.000 0.000 1
Pd2 Pd 0.500 0.500 0.500 1
O1 O 0.166 0.226 0.958 1
O2 O 0.166 0.274 0.458 1
O3 O 0.234 0.708 0.960 1
O4 O 0.234 0.792 0.460 1
O5 O 0.313 0.010 0.739 1
O6 O 0.313 0.490 0.239 1
O7 O 0.687 0.510 0.761 1
O8 O 0.687 0.990 0.261 1
O9 O 0.766 0.208 0.540 1
O10 O 0.766 0.292 0.040 1
O11 O 0.834 0.726 0.542 1
O12 O 0.834 0.774 0.042 1
```

## Properties
- crystal system = monoclinic
- space-group type = P2_1/c
- calculated volume (Å³ per cell) = 229.5
- formation energy from raw total energies (eV per atom) = -2.2283

Entry 12:
Compound: ScTl2V2
Source: Alexandria
Functional: PBE
Structure: relaxed

Cell and atoms, written as CIF:
```
data_ScTl2V2
_chemical_formula_sum 'Sc2 Tl4 V4'
_symmetry_space_group_name_H-M 'P 1'
_symmetry_Int_Tables_number 1
_symmetry_space_group_name_Hall 'P 1'
_cell_length_a 7.930
_cell_length_b 7.930
_cell_length_c 3.202
_cell_angle_alpha 90.00
_cell_angle_beta 90.00
_cell_angle_gamma 90.00
loop_
_atom_site_label
_atom_site_type_symbol
_atom_site_fract_x
_atom_site_fract_y
_atom_site_fract_z
_atom_site_occupancy
Sc1 Sc 0.000 0.000 0.000 1
Sc2 Sc 0.500 0.500 0.000 1
Tl1 Tl 0.201 0.299 0.500 1
Tl2 Tl 0.299 0.799 0.500 1
Tl3 Tl 0.701 0.201 0.500 1
Tl4 Tl 0.799 0.701 0.500 1
V1 V 0.088 0.588 0.000 1
V2 V 0.412 0.088 0.000 1
V3 V 0.588 0.912 0.000 1
V4 V 0.912 0.412 0.000 1
```

## Properties
- crystal system = tetragonal
- relative energy among the computed polymorphs (eV per atom) = 0.0000
- density of states at the Fermi level (states/eV per cell) = 11.24
- formation energy from the elements (eV per atom) = 0.370
- space-group type = P4/mbm
- calculated volume (Å³ per cell) = 201.4

Please write out number 2 again, unchanged.
Compound: Ba5Zn2Pt5
Source: Alexandria
Functional: PBE
Structure: relaxed

Cell and atoms, written as CIF:
```
data_Ba5Zn2Pt5
_chemical_formula_sum 'Ba5 Zn2 Pt5'
_symmetry_space_group_name_H-M 'P 1'
_symmetry_Int_Tables_number 1
_symmetry_space_group_name_Hall 'P 1'
_cell_length_a 8.295
_cell_length_b 8.295
_cell_length_c 12.458
_cell_angle_alpha 126.26
_cell_angle_beta 126.26
_cell_angle_gamma 30.44
loop_
_atom_site_label
_atom_site_type_symbol
_atom_site_fract_x
_atom_site_fract_y
_atom_site_fract_z
_atom_site_occupancy
Ba1 Ba 0.000 0.000 0.000 1
Ba2 Ba 0.321 0.321 0.417 1
Ba3 Ba 0.368 0.368 0.171 1
Ba4 Ba 0.632 0.632 0.829 1
Ba5 Ba 0.679 0.679 0.583 1
Zn1 Zn 0.387 0.387 0.731 1
Zn2 Zn 0.613 0.613 0.269 1
Pt1 Pt 0.000 0.000 0.500 1
Pt2 Pt 0.062 0.062 0.331 1
Pt3 Pt 0.306 0.306 0.860 1
Pt4 Pt 0.694 0.694 0.140 1
Pt5 Pt 0.938 0.938 0.669 1
```

## Properties
- crystal system = monoclinic
- density of states at the Fermi level (states/eV per cell) = 3.61
- formation energy from the elements (eV per atom) = -0.649
- space-group type = C2/m
- calculated volume (Å³ per cell) = 343.1

The highest calculated volume belongs to which entry? Zr5Bi3H

Look up the calculated volume of the fourth one. 102.8 Å³ per cell